1.
This record from Alexandria via LeMat-Bulk describes a relaxed ScGa2FeNi crystal. The functional is PBEsol.

Results
The formation energy is 1.35 eV/atom. As for the space group: No. 123.

CIF file:
```
data_ScGa2FeNi
_chemical_formula_sum 'Sc1 Ga2 Fe1 Ni1'
_cell_length_a 4.9399
_cell_length_b 4.9399
_cell_length_c 4.1800
_cell_angle_alpha 90.00
_cell_angle_beta 90.00
_cell_angle_gamma 90.00
_symmetry_space_group_name_H-M 'P 1'
_symmetry_Int_Tables_number 1
loop_
_symmetry_equiv_pos_as_xyz
'x,y,z'
loop_
_atom_site_label
_atom_site_type_symbol
_atom_site_fract_x
_atom_site_fract_y
_atom_site_fract_z
_atom_site_occupancy
Sc1 Sc 0.0000 0.0000 0.0000 1
Ga1 Ga 0.0000 0.5000 0.0000 1
Ga2 Ga 0.5000 0.0000 0.0000 1
Fe1 Fe 0.0000 0.0000 0.5000 1
Ni1 Ni 0.5000 0.5000 0.5000 1
```


2.
This record from Alexandria via LeMat-Bulk describes a relaxed Ta2IrBr crystal. The functional is PBEsol.

Results
The uncorrected formation energy is 0.248 eV/f.u. The energy above the most stable polymorph in this dataset comes out at 0 meV/atom. As for the space group: No. 160.

CIF file:
```
data_Ta2IrBr
_chemical_formula_sum 'Ta2 Ir1 Br1'
_cell_length_a 8.9282
_cell_length_b 8.9282
_cell_length_c 8.9282
_cell_angle_alpha 20.11
_cell_angle_beta 20.11
_cell_angle_gamma 20.11
_symmetry_space_group_name_H-M 'P 1'
_symmetry_Int_Tables_number 1
loop_
_symmetry_equiv_pos_as_xyz
'x,y,z'
loop_
_atom_site_label
_atom_site_type_symbol
_atom_site_fract_x
_atom_site_fract_y
_atom_site_fract_z
_atom_site_occupancy
Ta1 Ta 0.0000 0.0000 0.0000 1
Ta2 Ta 0.2470 0.2470 0.2470 1
Ir1 Ir 0.7359 0.7359 0.7359 1
Br1 Br 0.5055 0.5055 0.5055 1
```